No. 1
# Mn2CoRh PBE-GGA relaxed
# Polymorph energy (0 for the lowest one) ... 0.294 eV per atom
# V ... 12.38 A^3/atom
# E_form ... 21.3 kJ per mole of atoms
data_Mn2CoRh
_chemical_formula_sum 'Mn4 Co2 Rh2'
_cell_length_a 2.739
_cell_length_b 4.328
_cell_length_c 8.352
_cell_angle_alpha 90.00
_cell_angle_beta 90.00
_cell_angle_gamma 90.00
_space_group_name_H-M_alt 'C m m 2'
_space_group_IT_number 35
_space_group_name_Hall 'C 2 -2'
loop_
_atom_site_label
_atom_site_type_symbol
_atom_site_fract_x
_atom_site_fract_y
_atom_site_fract_z
Mn1 Mn 0.000 0.000 0.000
Mn2 Mn 0.000 0.500 0.239
Co1 Co 0.000 0.000 0.476
Rh1 Rh 0.000 0.500 0.743

=====

No. 2
# MnCoRh2 PBE-GGA relaxed
# V ... 13.01 A^3/atom
# E_form ... -1.4 kJ per mole of atoms
data_MnCoRh2
_chemical_formula_sum 'Mn2 Co2 Rh4'
_cell_length_a 3.692
_cell_length_b 3.692
_cell_length_c 7.637
_cell_angle_alpha 90.00
_cell_angle_beta 90.00
_cell_angle_gamma 90.00
_space_group_name_H-M_alt 'I -4 m 2'
_space_group_IT_number 119
_space_group_name_Hall 'I -4 -2'
loop_
_atom_site_label
_atom_site_type_symbol
_atom_site_fract_x
_atom_site_fract_y
_atom_site_fract_z
Mn1 Mn 0.000 0.000 0.000
Co1 Co 0.000 0.500 0.250
Rh1 Rh 0.000 0.000 0.500
Rh2 Rh 0.000 0.500 0.750

=====

No. 3
# MnCoRh2 PBE-GGA relaxed
# V ... 13.07 A^3/atom
# E_form ... -0.3 kJ per mole of atoms
data_MnCoRh2
_chemical_formula_sum 'Mn2 Co2 Rh4'
_cell_length_a 5.366
_cell_length_b 7.182
_cell_length_c 2.713
_cell_angle_alpha 90.00
_cell_angle_beta 90.00
_cell_angle_gamma 90.00
_space_group_name_H-M_alt 'C m m m'
_space_group_IT_number 65
_space_group_name_Hall '-C 2 2'
loop_
_atom_site_label
_atom_site_type_symbol
_atom_site_fract_x
_atom_site_fract_y
_atom_site_fract_z
Mn1 Mn 0.000 0.000 0.000
Co1 Co 0.000 0.500 0.000
Rh1 Rh 0.250 0.250 0.500

=====

No. 4
# Mn2CoRh PBE-GGA relaxed
# Polymorph energy (0 for the lowest one) ... 0.483 eV per atom
# V ... 12.00 A^3/atom
# E_form ... 39.6 kJ per mole of atoms
data_Mn2CoRh
_chemical_formula_sum 'Mn8 Co4 Rh4'
_cell_length_a 5.769
_cell_length_b 5.769
_cell_length_c 5.769
_cell_angle_alpha 90.00
_cell_angle_beta 90.00
_cell_angle_gamma 90.00
_space_group_name_H-M_alt 'F m -3 m'
_space_group_IT_number 225
_space_group_name_Hall '-F 4 2 3'
loop_
_atom_site_label
_atom_site_type_symbol
_atom_site_fract_x
_atom_site_fract_y
_atom_site_fract_z
Mn1 Mn 0.250 0.250 0.250
Co1 Co 0.000 0.000 0.000
Rh1 Rh 0.000 0.000 0.500

=====

No. 5
# MnCoRh3 PBE-GGA relaxed
# Polymorph energy (0 for the lowest one) ... 0.000 eV per atom
# V ... 17.03 A^3/atom
# E_form ... 115.2 kJ per mole of atoms
data_MnCoRh3
_chemical_formula_sum 'Mn1 Co1 Rh3'
_cell_length_a 4.399
_cell_length_b 4.399
_cell_length_c 4.399
_cell_angle_alpha 90.00
_cell_angle_beta 90.00
_cell_angle_gamma 90.00
_space_group_name_H-M_alt 'P m -3 m'
_space_group_IT_number 221
_space_group_name_Hall '-P 4 2 3'
loop_
_atom_site_label
_atom_site_type_symbol
_atom_site_fract_x
_atom_site_fract_y
_atom_site_fract_z
Mn1 Mn 0.000 0.000 0.000
Co1 Co 0.500 0.500 0.500
Rh1 Rh 0.000 0.000 0.500

=====

No. 6
# Mn2CoRh PBE-GGA relaxed
# Polymorph energy (0 for the lowest one) ... 0.580 eV per atom
# V ... 12.69 A^3/atom
# E_form ... 48.9 kJ per mole of atoms
data_Mn2CoRh
_chemical_formula_sum 'Mn8 Co4 Rh4'
_cell_length_a 3.511
_cell_length_b 3.511
_cell_length_c 16.466
_cell_angle_alpha 90.00
_cell_angle_beta 90.00
_cell_angle_gamma 90.00
_space_group_name_H-M_alt 'I -4 2 d'
_space_group_IT_number 122
_space_group_name_Hall 'I -4 2bw'
loop_
_atom_site_label
_atom_site_type_symbol
_atom_site_fract_x
_atom_site_fract_y
_atom_site_fract_z
Mn1 Mn 0.194 0.250 0.125
Co1 Co 0.000 0.000 0.000
Rh1 Rh 0.000 0.000 0.500